## i
Compound: ZnInCoW
Source: OQMD via LeMat-Bulk
Functional: GGA-PBE
Structure: relaxed

a = 4.411 Å, b = 4.411 Å, c = 4.411 Å
α = 60.00°, β = 60.00°, γ = 60.00°
Element x y z (fractional)
Co  0.750  0.750  0.750
In  0.000  0.000  0.000
Zn  0.250  0.250  0.250
W  0.500  0.500  0.500

Output
Mass density: 11.6 g/cm³


## ii
Compound: ZnInCoW
Source: OQMD via LeMat-Bulk
Functional: GGA-PBE
Structure: relaxed

a = 4.444 Å, b = 4.444 Å, c = 4.444 Å
α = 60.00°, β = 60.00°, γ = 60.00°
Element x y z (fractional)
Zn  0.500  0.500  0.500
Co  0.750  0.750  0.750
W  0.250  0.250  0.250
In  0.000  0.000  0.000

Output
Mass density: 11.3 g/cm³


Most stable structure among those shown: i.